# 1
Material: BaMnIr
Method: DFT, PBE-GGA
State: optimized geometry

- V: 32.4 Å³/atom
- Crystal system: monoclinic
- Energy above the most stable polymorph in this dataset: 10 meV per atom
- Total magnetization: 3.62 μB/f.u.
- Uncorrected energy: -39.76 eV for the cell shown
- Energy of formation from the pure elements: 24 meV/atom

Lattice parameters (Å, degrees): 4.9652 4.4068 8.9057 90.00 94.60 90.00
Space group P2_1/m (No. 11)
Asymmetric unit:
1 Ba 0.2231 0.2500 0.2921 [2 per cell]
2 Mn 0.3587 0.2500 0.9228 [2 per cell]
3 Ir 0.1489 0.7500 0.0150 [2 per cell]

***

# 2
Material: K2Mn3Cl10
Method: DFT, PBE-GGA
State: optimized geometry

- V: 25.6 Å³/atom
- Crystal system: monoclinic
- Uncorrected formation energy: -1264 meV per atom
- Total magnetization: 3.32 μB/f.u.
- Uncorrected energy: -268.49 eV for the cell shown

Lattice parameters (Å, degrees): 23.3019 7.1004 9.9253 90.00 110.95 90.00
Space group C2/m (No. 12)
Asymmetric unit:
1 K 0.1259 0.0000 0.2644 [4 per cell]
2 K 0.2342 0.0000 0.7944 [4 per cell]
3 Mn 0.0000 0.2453 0.5000 [4 per cell]
4 Mn 0.0709 0.5000 0.9617 [4 per cell]
5 Mn 0.1794 0.5000 0.5307 [4 per cell]
6 Cl 0.0000 0.2825 0.0000 [4 per cell]
7 Cl 0.0114 0.0000 0.6788 [4 per cell]
8 Cl 0.0154 0.5000 0.6831 [4 per cell]
9 Cl 0.1164 0.2494 0.5553 [8 per cell]
10 Cl 0.1341 0.5000 0.2826 [4 per cell]
11 Cl 0.1368 0.2659 0.9755 [8 per cell]
12 Cl 0.2371 0.5000 0.7719 [4 per cell]
13 Cl 0.2500 0.2500 0.5000 [4 per cell]

***

# 3
Material: In2RuW
Method: DFT, PBE-GGA
State: optimized geometry

- V: 17.9 Å³/atom
- Crystal system: cubic
- Energy above the most stable polymorph in this dataset: 419 meV per atom
- Total magnetization: 2.29 μB/f.u.
- Uncorrected energy: -101.05 eV for the cell shown
- Energy of formation from the pure elements: 611 meV/atom

Lattice parameters (Å, degrees): 6.5863 6.5863 6.5863 90.00 90.00 90.00
Space group Fm-3m (No. 225)
Asymmetric unit:
1 In 0.2500 0.2500 0.2500 [8 per cell]
2 Ru 0.0000 0.0000 0.0000 [4 per cell]
3 W 0.0000 0.0000 0.5000 [4 per cell]

***

# 4
Material: BaCeGd2
Method: DFT, PBE-GGA
State: optimized geometry

- V: 36.4 Å³/atom
- Crystal system: tetragonal
- Energy above the most stable polymorph in this dataset: 0 meV per atom
- Total magnetization: 14.40 μB/f.u.
- Uncorrected energy: -35.37 eV for the cell shown
- Energy of formation from the pure elements: 161 meV/atom

Lattice parameters (Å, degrees): 3.6608 3.6608 10.8750 90.00 90.00 90.00
Space group P4/mmm (No. 123)
Asymmetric unit:
1 Ba 0.0000 0.0000 0.0000 [1 per cell]
2 Ce 0.0000 0.0000 0.5000 [1 per cell]
3 Gd 0.5000 0.5000 0.2917 [2 per cell]